A plane-wave DFT calculation with PBE was carried out for a geometry-optimized CaAlPb structure.

Cell lengths 10.377, 10.377, 10.377 Å; angles 25.08, 25.08, 25.08 degrees
Element x y z (fractional)
Ca 0.069 0.069 0.069
Ca 0.931 0.931 0.931
Al 0.333 0.333 0.333
Al 0.667 0.667 0.667
Pb 0.194 0.194 0.194
Pb 0.806 0.806 0.806

Summary:
* crystal system: trigonal
* volume: 29.45 Å³ per atom
* calculated formation energy: -0.238 eV per atom